A PBEsol-optimized structure of OsPtCl. Source: Alexandria, functional SCAN.

calculated total energy	-48.145	eV per atom
E_form (uncorrected)	1.8723	eV/atom
distance to the lowest polymorph of the same formula	867	meV/atom

a = 4.071 Å, b = 4.071 Å, c = 4.071 Å
α = 60.00°, β = 60.00°, γ = 60.00°
Sites, in units of the cell vectors:
Os (0.000, 0.000, 0.000)
Pt (0.500, 0.500, 0.500)
Cl (0.250, 0.250, 0.250)



A PBEsol-optimized structure of OsPtCl2. Source: Alexandria, functional SCAN.

calculated total energy	-38.980	eV per atom
E_form (uncorrected)	0.5268	eV/atom
distance to the lowest polymorph of the same formula	0	meV/atom

a = 2.740 Å, b = 2.740 Å, c = 11.059 Å
α = 82.88°, β = 82.88°, γ = 60.00°
Sites, in units of the cell vectors:
Os (0.000, 0.000, 0.000)
Pt (0.500, 0.500, 0.500)
Cl (0.933, 0.933, 0.202)
Cl (0.067, 0.067, 0.798)



A PBEsol-optimized structure of OsPtCl2. Source: Alexandria, functional SCAN.

calculated total energy	-38.755	eV per atom
E_form (uncorrected)	0.7517	eV/atom
distance to the lowest polymorph of the same formula	225	meV/atom

a = 2.790 Å, b = 2.925 Å, c = 9.017 Å
α = 90.00°, β = 90.00°, γ = 118.49°
Sites, in units of the cell vectors:
Os (0.500, 0.000, 0.500)
Pt (0.500, 0.000, 0.000)
Cl (0.000, 0.000, 0.714)
Cl (0.000, 0.000, 0.286)



A PBEsol-optimized structure of OsPtCl. Source: Alexandria, functional SCAN.

calculated total energy	-49.011	eV per atom
E_form (uncorrected)	1.0056	eV/atom
distance to the lowest polymorph of the same formula	0	meV/atom

a = 4.204 Å, b = 4.204 Å, c = 4.204 Å
α = 60.00°, β = 60.00°, γ = 60.00°
Sites, in units of the cell vectors:
Os (0.250, 0.250, 0.250)
Pt (0.000, 0.000, 0.000)
Cl (0.500, 0.500, 0.500)



A PBEsol-optimized structure of Os2PtCl. Source: Alexandria, functional SCAN.

calculated total energy	-54.762	eV per atom
E_form (uncorrected)	0.7210	eV/atom

a = 2.757 Å, b = 4.655 Å, c = 6.365 Å
α = 83.59°, β = 77.49°, γ = 72.78°
Sites, in units of the cell vectors:
Os (0.297, 0.571, 0.835)
Os (0.703, 0.429, 0.165)
Pt (0.500, 0.000, 0.000)
Cl (0.000, 0.500, 0.500)



A PBEsol-optimized structure of RbOsCl3. Source: Alexandria, functional SCAN.

calculated total energy	-23.945	eV per atom
E_form (uncorrected)	-0.6343	eV/atom

a = 4.823 Å, b = 4.823 Å, c = 4.823 Å
α = 90.00°, β = 90.00°, γ = 90.00°
Sites, in units of the cell vectors:
Os (0.000, 0.000, 0.000)
Rb (0.500, 0.500, 0.500)
Cl (0.000, 0.500, 0.000)
Cl (0.000, 0.000, 0.500)
Cl (0.500, 0.000, 0.000)



A PBEsol-optimized structure of Rb2OsCl2. Source: Alexandria, functional SCAN.

calculated total energy	-25.817	eV per atom
E_form (uncorrected)	0.0463	eV/atom

a = 5.966 Å, b = 5.966 Å, c = 6.931 Å
α = 115.49°, β = 115.49°, γ = 90.00°
Sites, in units of the cell vectors:
Os (0.000, 0.000, 0.000)
Rb (0.330, 0.330, 0.659)
Rb (0.670, 0.670, 0.341)
Cl (0.250, 0.750, 0.500)
Cl (0.750, 0.250, 0.500)



A PBEsol-optimized structure of ReOs2Cl. Source: Alexandria, functional SCAN.

calculated total energy	-54.522	eV per atom
E_form (uncorrected)	1.1870	eV/atom
distance to the lowest polymorph of the same formula	303	meV/atom

a = 2.819 Å, b = 4.499 Å, c = 5.174 Å
α = 115.77°, β = 105.81°, γ = 90.00°
Sites, in units of the cell vectors:
Re (0.519, 0.519, 0.038)
Os (0.984, 0.984, 0.967)
Os (0.752, 0.252, 0.503)
Cl (0.245, 0.745, 0.491)



A PBEsol-optimized structure of Re2OsCl. Source: Alexandria, functional SCAN.

calculated total energy	-54.703	eV per atom
E_form (uncorrected)	0.8101	eV/atom

a = 2.785 Å, b = 2.772 Å, c = 9.006 Å
α = 90.00°, β = 90.00°, γ = 120.16°
Sites, in units of the cell vectors:
Re (0.000, 0.000, 0.001)
Re (0.500, 0.000, 0.252)
Os (0.500, 0.000, 0.759)
Cl (0.000, 0.000, 0.489)



A PBEsol-optimized structure of ReOs2Cl. Source: Alexandria, functional SCAN.

calculated total energy	-54.825	eV per atom
E_form (uncorrected)	0.8836	eV/atom
distance to the lowest polymorph of the same formula	0	meV/atom

a = 2.752 Å, b = 2.777 Å, c = 8.950 Å
α = 90.00°, β = 90.00°, γ = 119.71°
Sites, in units of the cell vectors:
Re (0.500, 0.000, 0.500)
Os (0.000, 0.000, 0.747)
Os (0.000, 0.000, 0.253)
Cl (0.500, 0.000, 0.000)



A PBEsol-optimized structure of ReOsCl. Source: Alexandria, functional SCAN.

calculated total energy	-49.091	eV per atom
E_form (uncorrected)	1.2273	eV/atom

a = 4.166 Å, b = 4.166 Å, c = 4.166 Å
α = 60.00°, β = 60.00°, γ = 60.00°
Sites, in units of the cell vectors:
Re (0.250, 0.250, 0.250)
Os (0.500, 0.500, 0.500)
Cl (0.000, 0.000, 0.000)



A PBEsol-optimized structure of ReSnOsCl2. Source: Alexandria, functional SCAN.

calculated total energy	-36.852	eV per atom
E_form (uncorrected)	2.1193	eV/atom

a = 4.858 Å, b = 4.858 Å, c = 5.529 Å
α = 90.00°, β = 90.00°, γ = 90.00°
Sites, in units of the cell vectors:
Re (0.000, 0.000, 0.500)
Os (0.500, 0.500, 0.500)
Sn (0.000, 0.000, 0.000)
Cl (0.000, 0.500, 0.000)
Cl (0.500, 0.000, 0.000)